# TmScSbAs PBE optimized geometry
# * ΔE_f (raw): -1.11 eV per atom
# * M_tot: 0.000 Bohr magnetons per cell
# * Fermi-level density of states: 1.0 states/eV/f.u.
data_TmScSbAs
_symmetry_space_group_name_H-M 'P 1'
_symmetry_Int_Tables_number 1
_symmetry_space_group_name_Hall 'P 1'
_cell_length_a 7.315
_cell_length_b 7.315
_cell_length_c 7.315
_cell_angle_alpha 32.32
_cell_angle_beta 32.32
_cell_angle_gamma 32.32
loop_
_atom_site_label
_atom_site_fract_x
_atom_site_fract_y
_atom_site_fract_z
_atom_site_occupancy
Tm1 0.000 0.000 0.000 1
Sc1 0.818 0.818 0.818 1
Sb1 0.237 0.237 0.237 1
As1 0.414 0.414 0.414 1